# 1
Material: GdScCo2
Method: DFT, GGA-PBE
State: relaxed

POSCAR file:
```
GdScCo2
1.0
4.592 0.000 0.000
0.000 4.592 0.000
0.000 0.000 3.263
Gd Sc Co
1 1 2
direct
0.000 0.000 0.000 Gd
0.500 0.500 0.000 Sc
0.000 0.500 0.500 Co
0.500 0.000 0.500 Co
```

Results
E above lowest polymorph, eV per atom: 0.006
Calculated volume, A^3/atom: 17.2
Calculated formation energy, meV per atom: -185.1

=====

# 2
Material: Ce4ZnRu5
Method: DFT, GGA-PBE
State: relaxed

POSCAR file:
```
Ce4ZnRu5
1.0
7.979 0.000 0.000
0.000 9.691 0.000
0.000 0.000 5.126
Ce Zn Ru
8 2 10
direct
0.056 0.250 0.249 Ce
0.250 0.568 0.250 Ce
0.250 0.932 0.250 Ce
0.444 0.250 0.249 Ce
0.556 0.750 0.751 Ce
0.750 0.068 0.750 Ce
0.750 0.432 0.750 Ce
0.944 0.750 0.751 Ce
0.250 0.250 0.749 Zn
0.750 0.750 0.251 Zn
0.070 0.024 0.750 Ru
0.070 0.476 0.750 Ru
0.250 0.750 0.750 Ru
0.430 0.024 0.750 Ru
0.430 0.476 0.750 Ru
0.570 0.524 0.250 Ru
0.570 0.976 0.250 Ru
0.750 0.250 0.250 Ru
0.930 0.524 0.250 Ru
0.930 0.976 0.250 Ru
```

Results
Calculated volume, A^3/atom: 19.8
Calculated formation energy, meV per atom: -167.6

=====

# 3
Material: Tm2Mg3Cd
Method: DFT, GGA-PBE
State: relaxed

POSCAR file:
```
Tm2Mg3Cd
1.0
3.321 0.000 0.000
0.000 5.107 0.000
0.000 0.000 8.849
Tm Mg Cd
2 3 1
direct
0.000 0.000 0.000 Tm
0.000 0.500 0.489 Tm
0.500 0.000 0.661 Mg
0.500 0.500 0.161 Mg
0.500 0.500 0.827 Mg
0.500 0.000 0.329 Cd
```

Results
Calculated volume, A^3/atom: 25.0
Calculated formation energy, meV per atom: -117.6

=====

# 4
Material: Ni4Ge2H
Method: DFT, GGA-PBE
State: relaxed

POSCAR file:
```
Ni4Ge2H
1.0
-1.794 1.794 6.046
1.794 -1.794 6.046
1.794 1.794 -6.046
Ni Ge H
4 2 1
direct
0.000 0.500 0.500 Ni
0.163 0.163 0.000 Ni
0.500 0.000 0.500 Ni
0.837 0.837 0.000 Ni
0.356 0.356 0.000 Ge
0.644 0.644 0.000 Ge
0.000 0.000 0.000 H
```

Results
E above lowest polymorph, eV per atom: 0.000
Calculated volume, A^3/atom: 11.1

=====

# 5
Material: Dy2ErBiC
Method: DFT, GGA-PBE
State: relaxed

POSCAR file:
```
Dy2ErBiC
1.0
4.933 0.000 0.000
0.000 4.933 0.000
0.000 0.000 4.863
Dy Er Bi C
2 1 1 1
direct
0.000 0.500 0.000 Dy
0.500 0.000 0.000 Dy
0.000 0.000 0.500 Er
0.500 0.500 0.500 Bi
0.000 0.000 0.000 C
```

Results
Calculated volume, A^3/atom: 23.7
Calculated formation energy, meV per atom: -534.9

=====

# 6
Material: Ba2TiCrS6
Method: DFT, GGA-PBE
State: relaxed

POSCAR file:
```
Ba2TiCrS6
1.0
3.399 1.962 11.296
-3.399 1.962 11.296
0.000 -3.925 11.296
Ba Ti Cr S
4 2 2 12
direct
0.122 0.122 0.122 Ba
0.292 0.292 0.292 Ba
0.708 0.708 0.708 Ba
0.878 0.878 0.878 Ba
0.000 0.000 0.000 Ti
0.500 0.500 0.500 Ti
0.414 0.414 0.414 Cr
0.586 0.586 0.586 Cr
0.132 0.618 0.618 S
0.208 0.208 0.707 S
0.208 0.707 0.208 S
0.293 0.792 0.792 S
0.382 0.382 0.868 S
0.382 0.868 0.382 S
0.618 0.132 0.618 S
0.618 0.618 0.132 S
0.707 0.208 0.208 S
0.792 0.293 0.792 S
0.792 0.792 0.293 S
0.868 0.382 0.382 S
```

Results
Calculated volume, A^3/atom: 22.6
Formation energy from raw total energies, eV/atom: -1.3765